Material: Pa3Co2
Method: DFT, PBE-GGA
State: optimized geometry Values from VASP.

```
&SYSTEM
  ibrav = 0, nat = 10, ntyp = 2
/
ATOMIC_SPECIES
Co 58.93 Co.upf
Pa 231.04 Pa.upf
ATOMIC_POSITIONS crystal
Co 0.643 0.357 0.943
Co 0.336 0.857 0.557
Co 0.750 0.143 0.443
Co 0.942 0.643 0.057
Pa 0.126 0.580 0.801
Pa 0.280 0.000 0.000
Pa 0.030 0.500 0.500
Pa 0.508 0.420 0.199
Pa 0.457 0.920 0.301
Pa 0.677 0.080 0.699
CELL_PARAMETERS angstrom
3.405 0.000 0.616
1.702 5.407 0.308
-0.217 0.000 10.916
```

Output
energy of formation: -0.112 eV/atom
energy: -8.652 eV/atom
offset from the most stable computed form: 77 meV per atom

=====

Material: PaCo3
Method: DFT, PBE-GGA
State: optimized geometry Values from VASP.

```
&SYSTEM
  ibrav = 0, nat = 4, ntyp = 2
/
ATOMIC_SPECIES
Pa 231.04 Pa.upf
Co 58.93 Co.upf
ATOMIC_POSITIONS crystal
Pa 0.500 0.000 0.583
Co 0.500 0.500 0.083
Co 0.000 0.500 0.583
Co 0.000 0.000 0.083
CELL_PARAMETERS angstrom
-1.435 3.518 0.314
-3.532 -1.431 -0.104
0.022 -0.330 3.798
```

Output
energy of formation: -0.327 eV/atom
energy: -8.031 eV/atom

=====

Material: Pa2Co17
Method: DFT, PBE-GGA
State: optimized geometry Values from VASP.

```
&SYSTEM
  ibrav = 0, nat = 19, ntyp = 2
/
ATOMIC_SPECIES
Co 58.93 Co.upf
Pa 231.04 Pa.upf
ATOMIC_POSITIONS crystal
Co 0.290 0.710 0.000
Co 0.000 0.500 0.000
Co 0.290 0.000 0.710
Co 0.000 0.000 0.500
Co 0.349 0.850 0.349
Co 0.000 0.290 0.710
Co 0.900 0.900 0.900
Co 0.850 0.349 0.349
Co 0.150 0.651 0.651
Co 0.710 0.000 0.290
Co 0.710 0.290 0.000
Co 0.651 0.651 0.150
Co 0.349 0.349 0.850
Co 0.651 0.150 0.651
Co 0.100 0.100 0.100
Co 0.000 0.710 0.290
Co 0.500 0.000 0.000
Pa 0.342 0.342 0.342
Pa 0.658 0.658 0.658
CELL_PARAMETERS angstrom
6.182 -0.053 0.825
0.715 6.140 0.825
-0.060 -0.053 6.236
```

Output
energy of formation: -0.127 eV/atom
energy: -7.484 eV/atom

=====

Material: Pa4Co
Method: DFT, PBE-GGA
State: optimized geometry Values from VASP.

```
&SYSTEM
  ibrav = 0, nat = 5, ntyp = 2
/
ATOMIC_SPECIES
Co 58.93 Co.upf
Pa 231.04 Pa.upf
ATOMIC_POSITIONS crystal
Co 0.500 0.500 0.500
Pa 0.500 0.000 0.500
Pa 0.000 0.500 0.500
Pa 0.000 0.000 0.000
Pa 0.500 0.500 0.000
CELL_PARAMETERS angstrom
-1.788 -0.920 4.606
-3.986 -2.310 -2.009
2.484 -4.368 0.092
```

Output
energy of formation: 0.303 eV/atom
energy: -8.715 eV/atom
offset from the most stable computed form: 339 meV per atom

=====

Material: Pa3Co
Method: DFT, PBE-GGA
State: optimized geometry Values from VASP.

```
&SYSTEM
  ibrav = 0, nat = 16, ntyp = 2
/
ATOMIC_SPECIES
Pa 231.04 Pa.upf
Co 58.93 Co.upf
ATOMIC_POSITIONS crystal
Pa 0.141 0.305 0.445
Pa 0.859 0.695 0.945
Pa 0.359 0.805 0.445
Pa 0.345 0.566 0.750
Pa 0.359 0.805 0.055
Pa 0.859 0.695 0.555
Pa 0.141 0.305 0.055
Pa 0.155 0.066 0.750
Pa 0.641 0.195 0.945
Pa 0.845 0.934 0.250
Pa 0.641 0.195 0.555
Pa 0.655 0.434 0.250
Co 0.391 0.084 0.250
Co 0.891 0.416 0.750
Co 0.609 0.916 0.750
Co 0.109 0.584 0.250
CELL_PARAMETERS angstrom
5.730 0.000 0.000
0.000 6.515 0.000
0.000 0.000 9.361
```

Output
energy of formation: -0.170 eV/atom
energy: -9.068 eV/atom
offset from the most stable computed form: 0 meV per atom

=====

Material: Pa5Co
Method: DFT, PBE-GGA
State: optimized geometry Values from VASP.

```
&SYSTEM
  ibrav = 0, nat = 6, ntyp = 2
/
ATOMIC_SPECIES
Pa 231.04 Pa.upf
Co 58.93 Co.upf
ATOMIC_POSITIONS crystal
Pa 0.500 0.139 0.278
Pa 0.000 0.319 0.639
Pa 0.000 0.681 0.361
Pa 0.500 0.861 0.722
Pa 0.500 0.500 0.000
Co 0.000 0.000 0.000
CELL_PARAMETERS angstrom
-0.228 0.150 3.268
2.535 -4.953 0.404
5.307 5.865 0.101
```

Output
energy of formation: -0.075 eV/atom
energy: -9.172 eV/atom
offset from the most stable computed form: 0 meV per atom

=====

Material: PaCo6
Method: DFT, PBE-GGA
State: optimized geometry Values from VASP.

```
&SYSTEM
  ibrav = 0, nat = 28, ntyp = 2
/
ATOMIC_SPECIES
Co 58.93 Co.upf
Pa 231.04 Pa.upf
ATOMIC_POSITIONS crystal
Co 0.492 0.432 0.193
Co 0.992 0.568 0.807
Co 0.750 0.609 0.023
Co 0.250 0.315 0.742
Co 0.508 0.068 0.693
Co 0.750 0.109 0.477
Co 0.750 0.685 0.258
Co 0.750 0.185 0.242
Co 0.250 0.891 0.523
Co 0.750 0.944 0.085
Co 0.250 0.056 0.915
Co 0.250 0.141 0.152
Co 0.492 0.932 0.307
Co 0.250 0.641 0.348
Co 0.250 0.815 0.758
Co 0.250 0.391 0.977
Co 0.250 0.556 0.585
Co 0.750 0.444 0.415
Co 0.992 0.068 0.693
Co 0.508 0.568 0.807
Co 0.008 0.432 0.193
Co 0.750 0.859 0.848
Co 0.008 0.932 0.307
Co 0.750 0.359 0.652
Pa 0.250 0.256 0.443
Pa 0.250 0.756 0.057
Pa 0.750 0.744 0.557
Pa 0.750 0.244 0.943
CELL_PARAMETERS angstrom
4.733 0.000 0.000
0.000 7.761 0.000
0.000 0.000 9.880
```

Output
energy of formation: -0.134 eV/atom
energy: -7.581 eV/atom

=====

Material: PaCo4Pb
Method: DFT, PBE-GGA
State: optimized geometry Values from VASP.

```
&SYSTEM
  ibrav = 0, nat = 6, ntyp = 3
/
ATOMIC_SPECIES
Pa 231.04 Pa.upf
Co 58.93 Co.upf
Pb 207.20 Pb.upf
ATOMIC_POSITIONS crystal
Pa 0.250 0.250 0.250
Co 0.121 0.626 0.626
Co 0.626 0.626 0.626
Co 0.626 0.626 0.121
Co 0.626 0.121 0.626
Pb 0.000 0.000 0.000
CELL_PARAMETERS angstrom
5.009 0.000 0.000
2.504 4.338 0.000
2.504 1.446 4.090
```

Output
energy of formation: -0.025 eV/atom
energy: -6.963 eV/atom

=====

Material: PaCoPbS4
Method: DFT, PBE-GGA
State: optimized geometry Values from VASP.

```
&SYSTEM
  ibrav = 0, nat = 14, ntyp = 4
/
ATOMIC_SPECIES
S 32.06 S.upf
Pb 207.20 Pb.upf
Co 58.93 Co.upf
Pa 231.04 Pa.upf
ATOMIC_POSITIONS crystal
S 0.986 0.006 0.278
S 0.573 0.250 0.849
S 0.427 0.750 0.151
S 0.986 0.494 0.278
S 0.568 0.250 0.395
S 0.014 0.994 0.722
S 0.432 0.750 0.605
S 0.014 0.506 0.722
Pb 0.721 0.750 0.951
Pb 0.279 0.250 0.049
Co 0.237 0.750 0.346
Co 0.763 0.250 0.654
Pa 0.743 0.750 0.447
Pa 0.257 0.250 0.553
CELL_PARAMETERS angstrom
-5.995 -1.849 1.847
0.855 -5.127 -2.359
4.979 -2.013 6.180
```

Output
formation energy without anion corrections: -0.904 eV per atom
energy: -6.164 eV/atom

=====

Material: Pa2CoPbS8
Method: DFT, PBE-GGA
State: optimized geometry Values from VASP.

```
&SYSTEM
  ibrav = 0, nat = 12, ntyp = 4
/
ATOMIC_SPECIES
S 32.06 S.upf
Pa 231.04 Pa.upf
Pb 207.20 Pb.upf
Co 58.93 Co.upf
ATOMIC_POSITIONS crystal
S 0.667 0.333 0.428
S 0.829 0.658 0.835
S 0.829 0.171 0.835
S 0.342 0.171 0.835
S 0.171 0.342 0.165
S 0.658 0.829 0.165
S 0.171 0.829 0.165
S 0.333 0.667 0.572
Pa 0.667 0.333 0.128
Pa 0.333 0.667 0.872
Pb 0.000 0.000 0.500
Co 0.000 0.000 0.000
CELL_PARAMETERS angstrom
-1.776 -4.441 3.424
5.730 0.774 -1.077
0.586 4.872 6.623
```

Output
formation energy without anion corrections: -0.884 eV per atom
energy: -6.119 eV/atom

=====

Material: Pa2Co2PbS6
Method: DFT, PBE-GGA
State: optimized geometry Values from VASP.

```
&SYSTEM
  ibrav = 0, nat = 11, ntyp = 4
/
ATOMIC_SPECIES
S 32.06 S.upf
Co 58.93 Co.upf
Pa 231.04 Pa.upf
Pb 207.20 Pb.upf
ATOMIC_POSITIONS crystal
S 0.290 0.833 0.631
S 0.011 0.561 0.788
S 0.338 0.812 0.097
S 0.989 0.439 0.212
S 0.662 0.188 0.903
S 0.710 0.167 0.369
Co 0.096 0.800 0.813
Co 0.904 0.200 0.187
Pa 0.217 0.604 0.203
Pa 0.783 0.396 0.797
Pb 0.500 0.000 0.500
CELL_PARAMETERS angstrom
-4.465 -2.869 4.558
-4.906 -5.776 -0.052
6.148 -1.560 2.307
```

Output
formation energy without anion corrections: -0.990 eV per atom
energy: -6.597 eV/atom

=====

Material: PaCo2Pd
Method: DFT, PBE-GGA
State: optimized geometry Values from VASP.

```
&SYSTEM
  ibrav = 0, nat = 4, ntyp = 3
/
ATOMIC_SPECIES
Co 58.93 Co.upf
Pd 106.42 Pd.upf
Pa 231.04 Pa.upf
ATOMIC_POSITIONS crystal
Co 0.809 0.809 0.572
Co 0.191 0.191 0.428
Pd 0.500 0.500 0.500
Pa 0.000 0.000 0.000
CELL_PARAMETERS angstrom
4.444 0.000 0.000
2.222 3.849 0.000
2.222 1.283 3.937
```

Output
energy of formation: -0.338 eV/atom
energy: -7.563 eV/atom
offset from the most stable computed form: 98 meV per atom